# 1
Pm4NiSe2S | PBE-GGA | relaxed

extended XYZ file:
```
8
Lattice="7.197 0.000 0.000 0.000 4.046 0.000 -2.384 0.000 6.862" Properties=species:S:1:pos:R:3 pbc="T T T"
Pm 1.147 0.000 1.565
Pm 0.013 2.023 5.237
Pm 4.800 2.023 1.625
Pm 3.666 0.000 5.297
Ni 0.000 2.023 0.000
Se -1.192 0.000 3.431
Se 2.406 2.023 3.431
S 3.598 0.000 0.000
```

Values from the calculation:
volume = 25.0 Å³ per atom
energy relative to the elements, uncorrected = -1.489 eV per atom
electronic total energy = -5.974 eV per atom

***

# 2
La2BiBTe | PBE-GGA | relaxed

extended XYZ file:
```
5
Lattice="5.593 0.000 0.000 0.000 5.593 0.000 0.000 0.000 4.506" Properties=species:S:1:pos:R:3 pbc="T T T"
La 0.000 2.796 0.000
La 2.796 0.000 0.000
Bi 0.000 0.000 2.253
B 2.796 2.796 0.000
Te 2.796 2.796 2.253
```

Values from the calculation:
volume = 28.2 Å³ per atom
energy relative to the elements, uncorrected = -0.410 eV per atom
electronic total energy = -5.121 eV per atom

***

# 3
YLuPb | PBE-GGA | relaxed

extended XYZ file:
```
3
Lattice="-1.795 1.795 6.775 1.795 -1.795 6.775 1.795 1.795 -6.775" Properties=species:S:1:pos:R:3 pbc="T T T"
Y 0.000 0.000 0.000
Lu 0.000 0.000 4.368
Pb 0.000 0.000 8.996
```

Values from the calculation:
volume = 29.1 Å³ per atom
E above lowest polymorph = 0.0 meV/atom
energy of formation from the pure elements = -0.301 eV/atom
electronic total energy = -5.198 eV per atom

***

# 4
CsK6Au | PBE-GGA | relaxed

extended XYZ file:
```
8
Lattice="5.355 -6.548 0.000 5.355 6.548 0.000 -2.664 0.000 8.014" Properties=species:S:1:pos:R:3 pbc="T T T"
Cs 0.000 0.000 0.000
K 3.802 2.445 1.808
K 0.828 0.000 4.804
K 4.243 2.445 6.206
K 3.802 -2.445 1.808
K 7.218 0.000 3.209
K 4.243 -2.445 6.206
Au 4.023 0.000 4.007
```

Values from the calculation:
volume = 70.2 Å³ per atom
energy of formation from the pure elements = -0.056 eV/atom
electronic total energy = -1.395 eV per atom

***

# 5
Cs2GaI | PBE-GGA | relaxed

extended XYZ file:
```
4
Lattice="0.000 4.685 4.685 4.685 0.000 4.685 4.685 4.685 0.000" Properties=species:S:1:pos:R:3 pbc="T T T"
Cs 2.342 2.342 2.342
Cs 7.027 7.027 7.027
Ga 0.000 0.000 0.000
I 4.685 4.685 4.685
```

Values from the calculation:
volume = 51.4 Å³ per atom
E above lowest polymorph = 0.0 meV/atom
energy relative to the elements, uncorrected = -0.401 eV per atom
electronic total energy = -1.972 eV per atom

***

# 6
Rb2HgAs2 | PBE-GGA | relaxed

extended XYZ file:
```
10
Lattice="8.853 0.000 0.000 0.000 8.853 0.000 0.000 0.000 4.774" Properties=species:S:1:pos:R:3 pbc="T T T"
Rb 1.730 2.696 0.000
Rb 2.696 7.123 0.000
Rb 6.157 1.730 0.000
Rb 7.123 6.157 0.000
Hg 0.000 0.000 2.387
Hg 4.427 4.427 2.387
As 0.816 5.243 2.387
As 3.611 0.816 2.387
As 5.243 8.037 2.387
As 8.037 3.611 2.387
```

Values from the calculation:
volume = 37.4 Å³ per atom
E above lowest polymorph = 0.0 meV/atom
energy of formation from the pure elements = -0.259 eV/atom
electronic total energy = -2.566 eV per atom

***

# 7
CaZr2SbN | PBE-GGA | relaxed

extended XYZ file:
```
5
Lattice="5.356 0.000 0.000 0.000 5.356 0.000 0.000 0.000 4.052" Properties=species:S:1:pos:R:3 pbc="T T T"
Ca 0.000 0.000 0.000
Zr 0.000 2.678 0.000
Zr 2.678 0.000 0.000
Sb 2.678 2.678 2.026
N 0.000 0.000 2.026
```

Values from the calculation:
volume = 23.3 Å³ per atom
energy relative to the elements, uncorrected = 1.234 eV per atom
electronic total energy = -5.075 eV per atom

***

# 8
Mg2VCl | PBE-GGA | relaxed

extended XYZ file:
```
4
Lattice="0.000 3.563 3.563 3.563 0.000 3.563 3.563 3.563 0.000" Properties=species:S:1:pos:R:3 pbc="T T T"
Mg 1.782 1.782 1.782
Mg 5.345 5.345 5.345
V 0.000 0.000 0.000
Cl 3.563 3.563 3.563
```

Values from the calculation:
volume = 22.6 Å³ per atom
E above lowest polymorph = 302.6 meV/atom
energy relative to the elements, uncorrected = 0.484 eV per atom
electronic total energy = -3.055 eV per atom

***

Number 3 is which compound? YLuPb

***

Which of these has the lowest electronic total energy? Pm4NiSe2S

***

Which formula does entry 2 have? La2BiBTe